[1]
# Pm2Cd3Pd8 PBE-GGA optimized geometry
# Uncorrected energy in eV per cell: -118.9
# Fermi-level density of states in states/eV/f.u.: 3.94
# Total magnetic moment in μB per cell: 0.00
data_Pm2Cd3Pd8
_chemical_formula_sum 'Pm4 Cd6 Pd16'
_cell_length_a 13.902
_cell_length_b 7.161
_cell_length_c 5.073
_cell_angle_alpha 90.00
_cell_angle_beta 90.26
_cell_angle_gamma 90.00
_space_group_name_H-M_alt 'C 1 2/m 1'
_space_group_IT_number 12
loop_
_space_group_symop_operation_xyz
'x,y,z'
'-x,-y,-z'
'-x,y,-z'
'x,-y,z'
'x+1/2,y+1/2,z'
'-x+1/2,-y+1/2,-z'
'-x+1/2,y+1/2,-z'
'x+1/2,-y+1/2,z'
loop_
_atom_site_label
_atom_site_type_symbol
_atom_site_fract_x
_atom_site_fract_y
_atom_site_fract_z
Pm1 Pm 0.168 0.000 0.292
Cd1 Cd 0.000 0.308 0.500
Cd2 Cd 0.000 0.500 0.000
Pd1 Pd 0.048 0.000 0.775
Pd2 Pd 0.167 0.295 0.832
Pd3 Pd 0.184 0.500 0.308

***

[2]
# Pm2Cd3Pd7 PBE-GGA optimized geometry
# Uncorrected energy in eV per cell: -53.5
# Fermi-level density of states in states/eV/f.u.: 5.43
# Total magnetic moment in μB per cell: 0.00
data_Pm2Cd3Pd7
_chemical_formula_sum 'Pm2 Cd3 Pd7'
_cell_length_a 4.812
_cell_length_b 4.595
_cell_length_c 11.519
_cell_angle_alpha 90.00
_cell_angle_beta 101.99
_cell_angle_gamma 90.00
_space_group_name_H-M_alt 'P 1 2/m 1'
_space_group_IT_number 10
loop_
_space_group_symop_operation_xyz
'x,y,z'
'-x,-y,-z'
'-x,y,-z'
'x,-y,z'
loop_
_atom_site_label
_atom_site_type_symbol
_atom_site_fract_x
_atom_site_fract_y
_atom_site_fract_z
Pm1 Pm 0.151 0.000 0.301
Cd1 Cd 0.000 0.000 0.000
Cd2 Cd 0.356 0.500 0.714
Pd1 Pd 0.070 0.500 0.139
Pd2 Pd 0.283 0.000 0.566
Pd3 Pd 0.430 0.000 0.861
Pd4 Pd 0.500 0.500 0.000

***

[3]
# PmCd9Pd3 PBE-GGA optimized geometry
# Uncorrected energy in eV per cell: -65.0
# Fermi-level density of states in states/eV/f.u.: 7.38
# Total magnetic moment in μB per cell: 0.00
data_PmCd9Pd3
_chemical_formula_sum 'Pm2 Cd18 Pd6'
_cell_length_a 5.671
_cell_length_b 13.995
_cell_length_c 7.397
_cell_angle_alpha 90.00
_cell_angle_beta 112.37
_cell_angle_gamma 90.00
_space_group_name_H-M_alt 'C 1 2/m 1'
_space_group_IT_number 12
loop_
_space_group_symop_operation_xyz
'x,y,z'
'-x,-y,-z'
'-x,y,-z'
'x,-y,z'
'x+1/2,y+1/2,z'
'-x+1/2,-y+1/2,-z'
'-x+1/2,y+1/2,-z'
'x+1/2,-y+1/2,z'
loop_
_atom_site_label
_atom_site_type_symbol
_atom_site_fract_x
_atom_site_fract_y
_atom_site_fract_z
Pm1 Pm 0.000 0.000 0.000
Cd1 Cd 0.000 0.000 0.500
Cd2 Cd 0.102 0.390 0.212
Cd3 Cd 0.175 0.174 0.335
Pd1 Pd 0.000 0.500 0.500
Pd2 Pd 0.250 0.250 0.000

***

[4]
# Pm2CdPd5 PBE-GGA optimized geometry
# Uncorrected energy in eV per cell: -83.7
# Fermi-level density of states in states/eV/f.u.: 2.94
# Total magnetic moment in μB per cell: 0.00
data_Pm2CdPd5
_chemical_formula_sum 'Pm4 Cd2 Pd10'
_cell_length_a 6.373
_cell_length_b 6.373
_cell_length_c 7.630
_cell_angle_alpha 90.00
_cell_angle_beta 90.00
_cell_angle_gamma 90.00
_space_group_name_H-M_alt 'I 4 m m'
_space_group_IT_number 107
_space_group_name_Hall 'I 4 -2'
loop_
_atom_site_label
_atom_site_type_symbol
_atom_site_fract_x
_atom_site_fract_y
_atom_site_fract_z
Pm1 Pm 0.000 0.500 0.000
Cd1 Cd 0.000 0.000 0.422
Pd1 Pd 0.000 0.000 0.021
Pd2 Pd 0.223 0.223 0.743

***

[5]
# PmCd7Pd4 PBE-GGA optimized geometry
# Uncorrected energy in eV per cell: -67.0
# Fermi-level density of states in states/eV/f.u.: 5.82
# Total magnetic moment in μB per cell: 0.00
data_PmCd7Pd4
_chemical_formula_sum 'Pm2 Cd14 Pd8'
_cell_length_a 12.175
_cell_length_b 5.287
_cell_length_c 9.889
_cell_angle_alpha 90.00
_cell_angle_beta 125.68
_cell_angle_gamma 90.00
_space_group_name_H-M_alt 'C 1 2/m 1'
_space_group_IT_number 12
loop_
_space_group_symop_operation_xyz
'x,y,z'
'-x,-y,-z'
'-x,y,-z'
'x,-y,z'
'x+1/2,y+1/2,z'
'-x+1/2,-y+1/2,-z'
'-x+1/2,y+1/2,-z'
'x+1/2,-y+1/2,z'
loop_
_atom_site_label
_atom_site_type_symbol
_atom_site_fract_x
_atom_site_fract_y
_atom_site_fract_z
Pm1 Pm 0.000 0.000 0.000
Cd1 Cd 0.000 0.500 0.000
Cd2 Cd 0.062 0.000 0.371
Cd3 Cd 0.171 0.500 0.596
Cd4 Cd 0.216 0.000 0.875
Pd1 Pd 0.078 0.500 0.785
Pd2 Pd 0.194 0.500 0.332

***

[6]
# Pm4CdPd5 PBE-GGA optimized geometry
# Uncorrected energy in eV per cell: -52.9
# Fermi-level density of states in states/eV/f.u.: 4.90
# Total magnetic moment in μB per cell: 0.00
data_Pm4CdPd5
_chemical_formula_sum 'Pm4 Cd1 Pd5'
_cell_length_a 3.569
_cell_length_b 3.569
_cell_length_c 17.383
_cell_angle_alpha 90.00
_cell_angle_beta 90.00
_cell_angle_gamma 90.00
_space_group_name_H-M_alt 'P 4/m m m'
_space_group_IT_number 123
_space_group_name_Hall '-P 4 2'
loop_
_atom_site_label
_atom_site_type_symbol
_atom_site_fract_x
_atom_site_fract_y
_atom_site_fract_z
Pm1 Pm 0.000 0.000 0.105
Pm2 Pm 0.000 0.000 0.316
Cd1 Cd 0.000 0.000 0.500
Pd1 Pd 0.500 0.500 0.000
Pd2 Pd 0.500 0.500 0.210
Pd3 Pd 0.500 0.500 0.414